A plane-wave DFT calculation with PBE was carried out for a relaxed LuTh2Ti crystal.

Unit cell a=4.6455 b=4.8888 c=4.8888 alpha=90.00 beta=90.00 gamma=90.00
Fractional coordinates of all 4 atoms:
1 Ti 0.5000 0.0000 0.0000
2 Lu 0.5000 0.5000 0.5000
3 Th 0.0000 0.0000 0.5000
4 Th 0.0000 0.5000 0.0000

Values from the calculation:
* Fermi-level density of states: 6.2 states/eV per cell
* symmetry: P4/mmm
* DFT formation energy: 187 meV/atom